<a>
{"formula": "Ho2NbCd", "functional": "PBE", "state": "optimized geometry", "lattice": [[3.3358, 0.0000, 0.0000], [0.0000, 3.3358, 0.0000], [0.0000, 0.0000, 8.8452]], "species": ["Ho", "Ho", "Nb", "Cd"], "frac_coords": [[0.0000, 0.0000, 0.2397], [0.0000, 0.0000, 0.7603], [0.5000, 0.5000, 0.0000], [0.5000, 0.5000, 0.5000]], "total_magnetization_mub_per_cell": 0.00, "crystal_system": "tetragonal", "spacegroup": "No. 123"}

<b>
{"formula": "Ho2NbCd", "functional": "PBE", "state": "optimized geometry", "lattice": [[1.5877, 0.9167, 11.4992], [-1.5877, 0.9167, 11.4992], [0.0000, -1.8333, 11.4992]], "species": ["Ho", "Ho", "Nb", "Cd"], "frac_coords": [[0.0855, 0.0855, 0.0855], [0.9145, 0.9145, 0.9145], [0.0000, 0.0000, 0.0000], [0.5000, 0.5000, 0.5000]], "total_magnetization_mub_per_cell": 0.64, "crystal_system": "trigonal", "spacegroup": "No. 166"}

Least stable structure: <b>

<a>
{"formula": "NdHo3Cd", "functional": "PBE", "state": "optimized geometry", "lattice": [[6.5029, -1.8411, 0.0000], [6.5029, 1.8411, 0.0000], [-0.7490, 0.0000, 12.5723]], "species": ["Nd", "Nd", "Ho", "Ho", "Ho", "Ho", "Ho", "Ho", "Cd", "Cd"], "frac_coords": [[0.2343, 0.2343, 0.2529], [0.7657, 0.7657, 0.7471], [0.0357, 0.0357, 0.6884], [0.1459, 0.1459, 0.9489], [0.3664, 0.3664, 0.5226], [0.6336, 0.6336, 0.4774], [0.8541, 0.8541, 0.0511], [0.9643, 0.9643, 0.3116], [0.4475, 0.4475, 0.8736], [0.5525, 0.5525, 0.1264]], "total_magnetization_mub_per_cell": 0.01, "crystal_system": "monoclinic", "spacegroup": "No. 12"}

<b>
{"formula": "NdHo3Cd", "functional": "PBE", "state": "optimized geometry", "lattice": [[5.6558, -3.6097, 0.0000], [5.6558, 3.6097, 0.0000], [-2.8302, 0.0000, 7.6065]], "species": ["Nd", "Nd", "Ho", "Ho", "Ho", "Ho", "Ho", "Ho", "Cd", "Cd"], "frac_coords": [[0.0580, 0.0580, 0.2354], [0.9420, 0.9420, 0.7647], [0.0922, 0.5906, 0.3658], [0.4094, 0.9078, 0.6342], [0.4390, 0.4390, 0.7578], [0.5610, 0.5610, 0.2422], [0.5906, 0.0922, 0.3658], [0.9078, 0.4094, 0.6342], [0.2594, 0.2594, 0.9998], [0.7406, 0.7406, 0.0002]], "total_magnetization_mub_per_cell": 0.00, "crystal_system": "monoclinic", "spacegroup": "No. 12"}

Least stable structure: <b>

<a>
{"formula": "Nd2Ho3Cd3", "functional": "PBE", "state": "optimized geometry", "lattice": [[4.9338, 0.0000, 0.0000], [0.0000, 4.9347, 0.0000], [0.0000, 0.0000, 9.2534]], "species": ["Nd", "Nd", "Ho", "Ho", "Ho", "Cd", "Cd", "Cd"], "frac_coords": [[0.0000, 0.0000, 0.2440], [0.0000, 0.0000, 0.7560], [0.0000, 0.5000, 0.5000], [0.5000, 0.5000, 0.2286], [0.5000, 0.5000, 0.7714], [0.0000, 0.5000, 0.0000], [0.5000, 0.0000, 0.0000], [0.5000, 0.0000, 0.5000]], "total_magnetization_mub_per_cell": 0.01, "crystal_system": "orthorhombic", "spacegroup": "No. 47"}

<b>
{"formula": "Nd2Ho3Cd3", "functional": "PBE", "state": "optimized geometry", "lattice": [[-1.8909, 2.6657, 11.2357], [1.8909, -2.6657, 11.2357], [1.8909, 2.6657, -11.2357]], "species": ["Nd", "Nd", "Ho", "Ho", "Ho", "Cd", "Cd", "Cd"], "frac_coords": [[0.2315, 0.2315, 0.0000], [0.7685, 0.7685, 0.0000], [0.0000, 0.0000, 0.0000], [0.3802, 0.8802, 0.5000], [0.6198, 0.1198, 0.5000], [0.1127, 0.6127, 0.5000], [0.5000, 0.5000, 0.0000], [0.8873, 0.3873, 0.5000]], "total_magnetization_mub_per_cell": 0.00, "crystal_system": "orthorhombic", "spacegroup": "No. 71"}

Least stable structure: <a>

<a>
{"formula": "Nd3Ho4Cd", "functional": "PBE", "state": "optimized geometry", "lattice": [[3.6093, 0.0000, 0.0000], [0.0000, 3.6093, 0.0000], [0.0000, 0.0000, 19.2254]], "species": ["Nd", "Nd", "Nd", "Ho", "Ho", "Ho", "Ho", "Cd"], "frac_coords": [[0.0000, 0.0000, 0.0000], [0.0000, 0.0000, 0.2642], [0.0000, 0.0000, 0.7358], [0.5000, 0.5000, 0.1320], [0.5000, 0.5000, 0.3952], [0.5000, 0.5000, 0.6048], [0.5000, 0.5000, 0.8680], [0.0000, 0.0000, 0.5000]], "total_magnetization_mub_per_cell": 0.00, "crystal_system": "tetragonal", "spacegroup": "No. 123"}

<b>
{"formula": "Nd3Ho4Cd", "functional": "PBE", "state": "optimized geometry", "lattice": [[11.3072, 0.0000, 0.0000], [0.0000, 7.1114, 0.0000], [0.0000, 0.0000, 6.2236]], "species": ["Nd", "Nd", "Nd", "Nd", "Nd", "Nd", "Ho", "Ho", "Ho", "Ho", "Ho", "Ho", "Ho", "Ho", "Cd", "Cd"], "frac_coords": [[0.0000, 0.1291, 0.0000], [0.2341, 0.1179, 0.3571], [0.2659, 0.8821, 0.8571], [0.5000, 0.8709, 0.5000], [0.7341, 0.8821, 0.8571], [0.7659, 0.1179, 0.3571], [0.0000, 0.3911, 0.5401], [0.0000, 0.6300, 0.0193], [0.2417, 0.6234, 0.3620], [0.2583, 0.3766, 0.8620], [0.5000, 0.3700, 0.5193], [0.5000, 0.6089, 0.0401], [0.7417, 0.3766, 0.8620], [0.7583, 0.6234, 0.3620], [0.0000, 0.8611, 0.5293], [0.5000, 0.1389, 0.0293]], "total_magnetization_mub_per_cell": 0.00, "crystal_system": "orthorhombic", "spacegroup": "No. 31"}

Least stable structure: <b>

<a>
{"formula": "Nd2Ho3Cd2", "functional": "PBE", "state": "optimized geometry", "lattice": [[2.7245, 1.5730, 8.0391], [-2.7245, 1.5730, 8.0391], [0.0000, -3.1459, 8.0391]], "species": ["Nd", "Nd", "Ho", "Ho", "Ho", "Cd", "Cd"], "frac_coords": [[0.0752, 0.0752, 0.0752], [0.9248, 0.9248, 0.9248], [0.3442, 0.3442, 0.3442], [0.5000, 0.5000, 0.5000], [0.6558, 0.6558, 0.6558], [0.2130, 0.2130, 0.2130], [0.7870, 0.7870, 0.7870]], "total_magnetization_mub_per_cell": 0.00, "crystal_system": "trigonal", "spacegroup": "No. 166"}

<b>
{"formula": "Nd2Ho3Cd2", "functional": "PBE", "state": "optimized geometry", "lattice": [[1.7881, -16.5188, 0.0000], [1.7881, 16.5188, 0.0000], [0.0000, 0.0000, 3.5301]], "species": ["Nd", "Nd", "Ho", "Ho", "Ho", "Cd", "Cd"], "frac_coords": [[0.2021, 0.7979, 0.0000], [0.7979, 0.2021, 0.0000], [0.0740, 0.9260, 0.0000], [0.5000, 0.5000, 0.5000], [0.9260, 0.0740, 0.0000], [0.3646, 0.6354, 0.5000], [0.6354, 0.3646, 0.5000]], "total_magnetization_mub_per_cell": 0.00, "crystal_system": "orthorhombic", "spacegroup": "No. 65"}

Least stable structure: <b>

<a>
{"formula": "Nd3Ho2Cd", "functional": "PBE", "state": "optimized geometry", "lattice": [[3.6465, 0.0000, 0.0000], [0.0000, 3.6465, 0.0000], [0.0000, 0.0000, 14.3106]], "species": ["Nd", "Nd", "Nd", "Ho", "Ho", "Cd"], "frac_coords": [[0.0000, 0.0000, 0.0000], [0.0000, 0.0000, 0.3506], [0.0000, 0.0000, 0.6494], [0.5000, 0.5000, 0.1744], [0.5000, 0.5000, 0.8256], [0.5000, 0.5000, 0.5000]], "total_magnetization_mub_per_cell": 0.00, "crystal_system": "tetragonal", "spacegroup": "No. 123"}

<b>
{"formula": "Nd3Ho2Cd", "functional": "PBE", "state": "optimized geometry", "lattice": [[8.7450, -1.7648, 0.0000], [8.7450, 1.7648, 0.0000], [-3.3009, 0.0000, 12.5084]], "species": ["Nd", "Nd", "Nd", "Nd", "Nd", "Nd", "Ho", "Ho", "Ho", "Ho", "Cd", "Cd"], "frac_coords": [[0.0674, 0.0674, 0.2243], [0.2529, 0.2529, 0.6219], [0.4128, 0.4128, 0.0213], [0.5872, 0.5872, 0.9787], [0.7471, 0.7471, 0.3781], [0.9326, 0.9326, 0.7757], [0.2259, 0.2259, 0.8758], [0.4136, 0.4136, 0.5275], [0.5864, 0.5864, 0.4725], [0.7741, 0.7741, 0.1242], [0.4118, 0.4118, 0.2842], [0.5882, 0.5882, 0.7158]], "total_magnetization_mub_per_cell": 0.00, "crystal_system": "monoclinic", "spacegroup": "No. 12"}

Least stable structure: <b>

<a>
{"formula": "Nd2Ho2Cd", "functional": "PBE", "state": "optimized geometry", "lattice": [[4.2621, -4.6913, 0.0000], [4.2621, 4.6913, 0.0000], [-3.7483, 0.0000, 7.7024]], "species": ["Nd", "Nd", "Nd", "Nd", "Ho", "Ho", "Ho", "Ho", "Cd", "Cd"], "frac_coords": [[0.1638, 0.1638, 0.4312], [0.2837, 0.2837, 0.8820], [0.7163, 0.7163, 0.1180], [0.8362, 0.8362, 0.5688], [0.2415, 0.6096, 0.2792], [0.3904, 0.7585, 0.7208], [0.6096, 0.2415, 0.2792], [0.7585, 0.3904, 0.7208], [0.1593, 0.8407, 0.0000], [0.8407, 0.1593, 0.0000]], "total_magnetization_mub_per_cell": 0.00, "crystal_system": "monoclinic", "spacegroup": "No. 12"}

<b>
{"formula": "Nd2Ho2Cd", "functional": "PBE", "state": "optimized geometry", "lattice": [[-1.8121, 1.8121, 11.6978], [1.8121, -1.8121, 11.6978], [1.8121, 1.8121, -11.6978]], "species": ["Nd", "Nd", "Ho", "Ho", "Cd"], "frac_coords": [[0.1932, 0.1932, 0.0000], [0.8068, 0.8068, 0.0000], [0.4147, 0.4147, 0.0000], [0.5853, 0.5853, 0.0000], [0.0000, 0.0000, 0.0000]], "total_magnetization_mub_per_cell": 0.12, "crystal_system": "tetragonal", "spacegroup": "No. 139"}

Least stable structure: <a>

<a>
{"formula": "NdHoThCd", "functional": "PBE", "state": "optimized geometry", "lattice": [[0.0000, 3.9136, 3.9136], [3.9136, 0.0000, 3.9136], [3.9136, 3.9136, 0.0000]], "species": ["Nd", "Ho", "Th", "Cd"], "frac_coords": [[0.0000, 0.0000, 0.0000], [0.2500, 0.2500, 0.2500], [0.5000, 0.5000, 0.5000], [0.7500, 0.7500, 0.7500]], "total_magnetization_mub_per_cell": 0.00, "crystal_system": "cubic", "spacegroup": "No. 216"}

<b>
{"formula": "NdHoThCd", "functional": "PBE", "state": "optimized geometry", "lattice": [[3.6323, 0.0000, 0.0000], [0.0000, 3.6323, 0.0000], [0.0000, 0.0000, 8.9825]], "species": ["Nd", "Ho", "Th", "Cd"], "frac_coords": [[0.0000, 0.0000, 0.0000], [0.0000, 0.0000, 0.4647], [0.5000, 0.5000, 0.7266], [0.5000, 0.5000, 0.2454]], "total_magnetization_mub_per_cell": 0.00, "crystal_system": "tetragonal", "spacegroup": "No. 99"}

Least stable structure: <a>

<a>
{"formula": "NdHoTmCd", "functional": "PBE", "state": "optimized geometry", "lattice": [[3.6065, 0.0000, 0.0000], [0.0000, 3.6065, 0.0000], [0.0000, 0.0000, 9.0119]], "species": ["Nd", "Ho", "Tm", "Cd"], "frac_coords": [[0.0000, 0.0000, 0.0000], [0.5000, 0.5000, 0.7191], [0.5000, 0.5000, 0.2785], [0.0000, 0.0000, 0.4959]], "total_magnetization_mub_per_cell": 0.00, "crystal_system": "tetragonal", "spacegroup": "No. 99"}

<b>
{"formula": "NdHoTmCd", "functional": "PBE", "state": "optimized geometry", "lattice": [[0.0000, 3.8702, 3.8702], [3.8702, 0.0000, 3.8702], [3.8702, 3.8702, 0.0000]], "species": ["Nd", "Ho", "Tm", "Cd"], "frac_coords": [[0.0000, 0.0000, 0.0000], [0.5000, 0.5000, 0.5000], [0.7500, 0.7500, 0.7500], [0.2500, 0.2500, 0.2500]], "total_magnetization_mub_per_cell": 0.00, "crystal_system": "cubic", "spacegroup": "No. 216"}

Least stable structure: <b>

<a>
{"formula": "NdHoZnCd", "functional": "PBE", "state": "optimized geometry", "lattice": [[3.6373, 0.0000, 0.0000], [0.0000, 3.6373, 0.0000], [0.0000, 0.0000, 7.6776]], "species": ["Nd", "Ho", "Zn", "Cd"], "frac_coords": [[0.0000, 0.0000, 0.0000], [0.0000, 0.0000, 0.4607], [0.5000, 0.5000, 0.2490], [0.5000, 0.5000, 0.7139]], "total_magnetization_mub_per_cell": 0.00, "crystal_system": "tetragonal", "spacegroup": "No. 99"}

<b>
{"formula": "NdHoZnCd", "functional": "PBE", "state": "optimized geometry", "lattice": [[0.0000, 3.7170, 3.7170], [3.7170, 0.0000, 3.7170], [3.7170, 3.7170, 0.0000]], "species": ["Nd", "Ho", "Zn", "Cd"], "frac_coords": [[0.0000, 0.0000, 0.0000], [0.5000, 0.5000, 0.5000], [0.7500, 0.7500, 0.7500], [0.2500, 0.2500, 0.2500]], "total_magnetization_mub_per_cell": 0.10, "crystal_system": "cubic", "spacegroup": "No. 216"}

Least stable structure: <b>

<a>
{"formula": "Ho2Cd3Ni2", "functional": "PBE", "state": "optimized geometry", "lattice": [[5.0092, -1.9475, 0.0000], [5.0092, 1.9475, 0.0000], [-0.8723, 0.0000, 7.3625]], "species": ["Ho", "Ho", "Cd", "Cd", "Cd", "Ni", "Ni"], "frac_coords": [[0.1238, 0.1238, 0.3615], [0.8762, 0.8762, 0.6385], [0.1901, 0.1901, 0.8548], [0.5000, 0.5000, 0.0000], [0.8099, 0.8099, 0.1452], [0.4176, 0.4176, 0.3673], [0.5824, 0.5824, 0.6327]], "total_magnetization_mub_per_cell": 0.00, "crystal_system": "monoclinic", "spacegroup": "No. 12"}

<b>
{"formula": "Ho2Cd3Ni2", "functional": "PBE", "state": "optimized geometry", "lattice": [[1.9396, -10.2161, 0.0000], [1.9396, 10.2161, 0.0000], [0.0000, 0.0000, 3.6899]], "species": ["Ho", "Ho", "Cd", "Cd", "Cd", "Ni", "Ni"], "frac_coords": [[0.1732, 0.8268, 0.0000], [0.8268, 0.1732, 0.0000], [0.0000, 0.0000, 0.0000], [0.4218, 0.5782, 0.5000], [0.5782, 0.4218, 0.5000], [0.2860, 0.7140, 0.5000], [0.7140, 0.2860, 0.5000]], "total_magnetization_mub_per_cell": 0.00, "crystal_system": "orthorhombic", "spacegroup": "No. 65"}

Least stable structure: <a>

<a>
{"formula": "HoScCdNi", "functional": "PBE", "state": "optimized geometry", "lattice": [[3.3405, 0.0000, 0.0000], [0.0000, 3.3405, 0.0000], [0.0000, 0.0000, 7.3975]], "species": ["Ho", "Sc", "Cd", "Ni"], "frac_coords": [[0.0000, 0.0000, 0.0000], [0.0000, 0.0000, 0.5772], [0.5000, 0.5000, 0.3078], [0.5000, 0.5000, 0.7632]], "total_magnetization_mub_per_cell": 0.00, "crystal_system": "tetragonal", "spacegroup": "No. 99"}

<b>
{"formula": "HoScCdNi", "functional": "PBE", "state": "optimized geometry", "lattice": [[0.0000, 3.4674, 3.4674], [3.4674, 0.0000, 3.4674], [3.4674, 3.4674, 0.0000]], "species": ["Ho", "Sc", "Cd", "Ni"], "frac_coords": [[0.0000, 0.0000, 0.0000], [0.5000, 0.5000, 0.5000], [0.7500, 0.7500, 0.7500], [0.2500, 0.2500, 0.2500]], "total_magnetization_mub_per_cell": 0.00, "crystal_system": "cubic", "spacegroup": "No. 216"}

Least stable structure: <b>

<a>
{"formula": "HoTmCdNi", "functional": "PBE", "state": "optimized geometry", "lattice": [[0.0000, 3.5401, 3.5401], [3.5401, 0.0000, 3.5401], [3.5401, 3.5401, 0.0000]], "species": ["Ho", "Tm", "Cd", "Ni"], "frac_coords": [[0.0000, 0.0000, 0.0000], [0.5000, 0.5000, 0.5000], [0.2500, 0.2500, 0.2500], [0.7500, 0.7500, 0.7500]], "total_magnetization_mub_per_cell": 0.00, "crystal_system": "cubic", "spacegroup": "No. 216"}

<b>
{"formula": "HoTmCdNi", "functional": "PBE", "state": "optimized geometry", "lattice": [[3.4178, 0.0000, 0.0000], [0.0000, 3.4178, 0.0000], [0.0000, 0.0000, 7.5685]], "species": ["Ho", "Tm", "Cd", "Ni"], "frac_coords": [[0.0000, 0.0000, 0.0000], [0.0000, 0.0000, 0.5768], [0.5000, 0.5000, 0.2918], [0.5000, 0.5000, 0.7837]], "total_magnetization_mub_per_cell": 0.00, "crystal_system": "tetragonal", "spacegroup": "No. 99"}

Least stable structure: <a>